[1]
# Pr2BiPb (GGA-PBE, relaxed)
data_Pr2BiPb
_cell_length_a 8.332
_cell_length_b 8.332
_cell_length_c 8.332
_cell_angle_alpha 31.45
_cell_angle_beta 31.45
_cell_angle_gamma 31.45
_symmetry_space_group_name_H-M 'P 1'
_symmetry_Int_Tables_number 1
loop_
_symmetry_equiv_pos_as_xyz
'x,y,z'
loop_
_atom_site_label
_atom_site_type_symbol
_atom_site_fract_x
_atom_site_fract_y
_atom_site_fract_z
Pr1 Pr 0.249 0.249 0.249
Pr2 Pr 0.751 0.751 0.751
Bi1 Bi 0.500 0.500 0.500
Pb1 Pb 0.000 0.000 0.000
# DOS(E_F)   0.468 states/eV/atom
# Raw total energy   -0.366 Ry per atom
# SG   R-3m (166)
# ΔE_f   -696.3 meV per atom
# M_tot   0.0 μB/f.u.

=====

[2]
# PrBiPb (GGA-PBE, relaxed)
data_PrBiPb
_cell_length_a 5.468
_cell_length_b 5.468
_cell_length_c 3.756
_cell_angle_alpha 90.00
_cell_angle_beta 90.00
_cell_angle_gamma 120.00
_symmetry_space_group_name_H-M 'P 1'
_symmetry_Int_Tables_number 1
loop_
_symmetry_equiv_pos_as_xyz
'x,y,z'
loop_
_atom_site_label
_atom_site_type_symbol
_atom_site_fract_x
_atom_site_fract_y
_atom_site_fract_z
Pr1 Pr 0.000 0.000 0.000
Bi1 Bi 0.333 0.667 0.520
Pb1 Pb 0.667 0.333 0.477
# DOS(E_F)   0.557 states/eV/atom
# Raw total energy   -0.328 Ry per atom
# SG   P3m1 (156)
# ΔE_f   -338.7 meV per atom
# M_tot   0.0 μB/f.u.

=====

[3]
# Pr6Bi5Pb (GGA-PBE, relaxed)
data_Pr6Bi5Pb
_cell_length_a 8.026
_cell_length_b 8.026
_cell_length_c 8.030
_cell_angle_alpha 99.62
_cell_angle_beta 99.62
_cell_angle_gamma 119.99
_symmetry_space_group_name_H-M 'P 1'
_symmetry_Int_Tables_number 1
loop_
_symmetry_equiv_pos_as_xyz
'x,y,z'
loop_
_atom_site_label
_atom_site_type_symbol
_atom_site_fract_x
_atom_site_fract_y
_atom_site_fract_z
Pr1 Pr 0.083 0.416 0.249
Pr2 Pr 0.250 0.250 0.750
Pr3 Pr 0.416 0.083 0.249
Pr4 Pr 0.584 0.917 0.751
Pr5 Pr 0.750 0.750 0.250
Pr6 Pr 0.917 0.584 0.751
Bi1 Bi 0.168 0.832 0.500
Bi2 Bi 0.334 0.666 0.000
Bi3 Bi 0.500 0.500 0.500
Bi4 Bi 0.666 0.334 0.000
Bi5 Bi 0.832 0.168 0.500
Pb1 Pb 0.000 0.000 0.000
# DOS(E_F)   0.378 states/eV/atom
# Raw total energy   -0.381 Ry per atom
# SG   C2/m (12)
# ΔE_f   -870.4 meV per atom
# M_tot   0.0 μB/f.u.

=====

[4]
# Pr3Bi2Pb (GGA-PBE, relaxed)
data_Pr3Bi2Pb
_cell_length_a 8.076
_cell_length_b 8.076
_cell_length_c 8.076
_cell_angle_alpha 147.11
_cell_angle_beta 132.09
_cell_angle_gamma 59.34
_symmetry_space_group_name_H-M 'P 1'
_symmetry_Int_Tables_number 1
loop_
_symmetry_equiv_pos_as_xyz
'x,y,z'
loop_
_atom_site_label
_atom_site_type_symbol
_atom_site_fract_x
_atom_site_fract_y
_atom_site_fract_z
Pr1 Pr 0.000 0.000 0.000
Pr2 Pr 0.332 0.332 0.000
Pr3 Pr 0.668 0.668 0.000
Bi1 Bi 0.167 0.667 0.500
Bi2 Bi 0.833 0.333 0.500
Pb1 Pb 0.500 0.000 0.500
# DOS(E_F)   0.492 states/eV/atom
# Raw total energy   -0.374 Ry per atom
# SG   Immm (71)
# ΔE_f   -783.9 meV per atom
# M_tot   0.0 μB/f.u.

=====

[5]
# Pr5Bi2Pb (GGA-PBE, relaxed)
data_Pr5Bi2Pb
_cell_length_a 5.923
_cell_length_b 5.923
_cell_length_c 18.447
_cell_angle_alpha 90.00
_cell_angle_beta 90.00
_cell_angle_gamma 121.49
_symmetry_space_group_name_H-M 'P 1'
_symmetry_Int_Tables_number 1
loop_
_symmetry_equiv_pos_as_xyz
'x,y,z'
loop_
_atom_site_label
_atom_site_type_symbol
_atom_site_fract_x
_atom_site_fract_y
_atom_site_fract_z
Pr1 Pr 0.086 0.914 0.580
Pr2 Pr 0.086 0.914 0.920
Pr3 Pr 0.278 0.722 0.250
Pr4 Pr 0.409 0.591 0.596
Pr5 Pr 0.409 0.591 0.904
Pr6 Pr 0.591 0.409 0.096
Pr7 Pr 0.591 0.409 0.404
Pr8 Pr 0.722 0.278 0.750
Pr9 Pr 0.914 0.086 0.080
Pr10 Pr 0.914 0.086 0.420
Bi1 Bi 0.260 0.740 0.072
Bi2 Bi 0.260 0.740 0.428
Bi3 Bi 0.740 0.260 0.572
Bi4 Bi 0.740 0.260 0.928
Pb1 Pb 0.048 0.952 0.750
Pb2 Pb 0.952 0.048 0.250
# DOS(E_F)   0.806 states/eV/atom
# Raw total energy   -0.357 Ry per atom
# SG   Cmcm (63)
# ΔE_f   -442.1 meV per atom
# M_tot   0.0 μB/f.u.

=====

[6]
# Pr2BiPb (GGA-PBE, relaxed)
data_Pr2BiPb
_cell_length_a 8.844
_cell_length_b 8.844
_cell_length_c 8.844
_cell_angle_alpha 28.84
_cell_angle_beta 28.84
_cell_angle_gamma 28.84
_symmetry_space_group_name_H-M 'P 1'
_symmetry_Int_Tables_number 1
loop_
_symmetry_equiv_pos_as_xyz
'x,y,z'
loop_
_atom_site_label
_atom_site_type_symbol
_atom_site_fract_x
_atom_site_fract_y
_atom_site_fract_z
Pr1 Pr 0.000 0.000 0.000
Pr2 Pr 0.176 0.176 0.176
Bi1 Bi 0.589 0.589 0.589
Pb1 Pb 0.420 0.420 0.420
# DOS(E_F)   0.581 states/eV/atom
# Raw total energy   -0.358 Ry per atom
# SG   R3m (160)
# ΔE_f   -590.4 meV per atom
# M_tot   0.0 μB/f.u.

=====

> Number 5 is which compound?

Pr5Bi2Pb